[1]
This record from Alexandria describes a geometry-optimized Ce4In3Hg2 structure. The functional is PBE-GGA.

Lattice parameters (Å, degrees): 5.359 5.353 9.958 90.07 90.00 59.96
Site moments in Bohr magnetons follow the coordinates.
Fractional coordinates of all 9 atoms:
Ce (0.000, 0.000, 0.363)  0.63
Ce (0.334, 0.333, 0.124)  0.87
Ce (0.000, 0.000, 0.637)  0.63
Ce (0.666, 0.667, 0.876)  0.87
Hg (0.333, 0.334, 0.794)  0.02
Hg (0.667, 0.666, 0.206)  0.02
In (0.667, 0.667, 0.525)  0.00
In (0.000, 0.000, 0.000)  0.00
In (0.333, 0.333, 0.475)  0.00

Results
Total DFT energy (no corrections) = -35.1 eV/cell
ΔH_f (0 K) = -0.2825 eV per atom
Total magnetization = 0.40 μB per atom
DOS at the Fermi energy = 25.11 states/eV per cell



[2]
This record from Alexandria describes a geometry-optimized Ti6RuPt5 structure. The functional is PBE-GGA.

Lattice parameters (Å, degrees): 4.736 5.730 7.423 67.32 86.26 90.01
Fractional coordinates of all 12 atoms:
Pt (0.337, 0.831, 0.338)
Pt (0.663, 0.169, 0.662)
Pt (0.663, 0.666, 0.668)
Pt (0.000, 0.500, 0.000)
Pt (0.337, 0.334, 0.332)
Ti (0.500, 0.246, 0.000)
Ti (0.159, 0.916, 0.673)
Ti (0.500, 0.754, 0.000)
Ti (0.159, 0.411, 0.673)
Ti (0.841, 0.084, 0.327)
Ti (0.841, 0.589, 0.327)
Ru (0.000, 0.000, 0.000)

Results
Total DFT energy (no corrections) = -97.0 eV/cell
ΔH_f (0 K) = -0.8422 eV per atom
Total magnetization = 0.00 μB per atom
DOS at the Fermi energy = 13.81 states/eV per cell



[3]
This record from Alexandria describes a geometry-optimized LiPd2Pt3 structure. The functional is PBE-GGA.

Lattice parameters (Å, degrees): 5.327 8.721 5.952 137.11 90.00 90.00
Fractional coordinates of all 12 atoms:
Pt (0.000, 0.164, 0.328)
Pt (0.500, 0.500, 0.000)
Pt (0.000, 0.836, 0.672)
Pt (0.500, 0.164, 0.328)
Pt (0.000, 0.500, 0.000)
Pt (0.500, 0.836, 0.672)
Pd (0.750, 0.439, 0.339)
Pd (0.750, 0.101, 0.661)
Pd (0.250, 0.561, 0.661)
Pd (0.250, 0.899, 0.339)
Li (0.750, 0.763, 0.000)
Li (0.250, 0.237, 0.000)

Results
Total DFT energy (no corrections) = -62.1 eV/cell
ΔH_f (0 K) = -0.1083 eV per atom
Total magnetization = 0.00 μB per atom
Relative energy among the computed polymorphs = 0.921 eV per formula unit
DOS at the Fermi energy = 17.23 states/eV per cell



[4]
This record from Alexandria describes a geometry-optimized HfAsW structure. The functional is PBE-GGA.

Lattice parameters (Å, degrees): 3.199 9.637 7.488 77.67 102.33 90.00
Fractional coordinates of all 12 atoms:
Hf (0.433, 0.168, 0.867)
Hf (0.567, 0.832, 0.133)
Hf (0.067, 0.335, 0.133)
Hf (0.933, 0.665, 0.867)
W (0.233, 0.642, 0.466)
W (0.753, 0.865, 0.506)
W (0.767, 0.358, 0.534)
W (0.247, 0.135, 0.494)
As (0.617, 0.088, 0.234)
As (0.394, 0.450, 0.788)
As (0.383, 0.912, 0.766)
As (0.606, 0.550, 0.212)

Results
Total DFT energy (no corrections) = -111.8 eV/cell
ΔH_f (0 K) = -0.1302 eV per atom
Total magnetization = 0.00 μB per atom
DOS at the Fermi energy = 8.61 states/eV per cell



[5]
This record from Alexandria describes a geometry-optimized TmMgHgPb structure. The functional is PBE-GGA.

Lattice parameters (Å, degrees): 4.172 4.778 4.944 90.00 90.00 90.00
Fractional coordinates of all 4 atoms:
Pb (0.000, 0.000, 0.000)
Hg (0.000, 0.500, 0.500)
Mg (0.500, 0.000, 0.500)
Tm (0.500, 0.500, 0.000)

Results
Total DFT energy (no corrections) = -11.4 eV/cell
ΔH_f (0 K) = -0.3405 eV per atom
Total magnetization = 0.00 μB per atom
Relative energy among the computed polymorphs = 0.000 eV per formula unit
DOS at the Fermi energy = 1.16 states/eV per cell



[6]
This record from Alexandria describes a geometry-optimized CsMgMn2Cl8 structure. The functional is PBE-GGA.

Lattice parameters (Å, degrees): 6.575 6.575 9.552 90.00 90.00 120.00
Site moments in Bohr magnetons follow the coordinates.
Fractional coordinates of all 12 atoms:
Cl (0.309, 0.996, 0.656)  0.04
Cl (0.313, 0.309, 0.344)  0.04
Cl (0.004, 0.313, 0.656)  0.04
Cl (0.333, 0.667, 0.948)  0.03
Cl (0.996, 0.687, 0.344)  0.04
Cl (0.687, 0.691, 0.656)  0.04
Cl (0.667, 0.333, 0.052)  0.03
Cl (0.691, 0.004, 0.344)  0.04
Mn (0.333, 0.667, 0.714)  3.97
Mn (0.667, 0.333, 0.286)  3.97
Mg (0.000, 0.000, 0.500)  0.01
Cs (0.000, 0.000, 0.000)  0.00

Results
Total DFT energy (no corrections) = -51.8 eV/cell
Total magnetization = 0.75 μB per atom
Formation energy from raw total energies = -1.357 eV/atom
DOS at the Fermi energy = 11.82 states/eV per cell



[7]
This record from Alexandria describes a geometry-optimized Tb6Pm3Tm2Pu structure. The functional is PBE-GGA.

Lattice parameters (Å, degrees): 6.164 6.164 11.760 95.03 95.03 120.01
Site moments in Bohr magnetons follow the coordinates.
Fractional coordinates of all 12 atoms:
Tm (0.667, 0.333, 0.000)  -0.14
Tm (0.333, 0.667, 0.000)  -0.14
Tb (0.081, 0.411, 0.244)  -0.05
Tb (0.752, 0.752, 0.244)  -0.05
Tb (0.589, 0.919, 0.756)  -0.05
Tb (0.248, 0.248, 0.756)  -0.05
Tb (0.411, 0.081, 0.244)  -0.05
Tb (0.919, 0.589, 0.756)  -0.05
Pm (0.500, 0.500, 0.500)  0.02
Pm (0.167, 0.833, 0.500)  0.02
Pm (0.833, 0.167, 0.500)  0.02
Pu (0.000, 0.000, 0.000)  -5.59

Results
Total DFT energy (no corrections) = -64.8 eV/cell
ΔH_f (0 K) = 0.0447 eV per atom
Total magnetization = 0.55 μB per atom
DOS at the Fermi energy = 23.81 states/eV per cell



[8]
This record from Alexandria describes a geometry-optimized SmEuPb structure. The functional is PBE-GGA.

Lattice parameters (Å, degrees): 3.810 5.449 5.449 120.00 90.00 90.00
Site moments in Bohr magnetons follow the coordinates.
Fractional coordinates of all 3 atoms:
Eu (0.300, 0.333, 0.667)  6.94
Pb (0.959, 0.667, 0.333)  -0.03
Sm (0.742, 0.000, 0.000)  0.19

Results
Total DFT energy (no corrections) = -19.5 eV/cell
ΔH_f (0 K) = -0.2793 eV per atom
Total magnetization = 2.57 μB per atom
Relative energy among the computed polymorphs = 0.109 eV per formula unit
DOS at the Fermi energy = 2.99 states/eV per cell



[9]
This record from Alexandria describes a geometry-optimized Mg3PN structure. The functional is PBE-GGA.

Lattice parameters (Å, degrees): 5.855 4.190 7.215 73.13 90.00 90.00
Fractional coordinates of all 10 atoms:
Mg (0.017, 0.527, 0.953)
Mg (0.706, 0.287, 0.431)
Mg (0.074, 0.786, 0.434)
Mg (0.574, 0.654, 0.699)
Mg (0.517, 0.913, 0.180)
Mg (0.205, 0.152, 0.702)
N (0.224, 0.647, 0.712)
N (0.724, 0.793, 0.421)
P (0.252, 0.367, 0.271)
P (0.752, 0.073, 0.861)

Results
Total DFT energy (no corrections) = -43.3 eV/cell
Total magnetization = 0.00 μB per atom
Formation energy from raw total energies = -0.627 eV/atom
Relative energy among the computed polymorphs = 0.555 eV per formula unit
DOS at the Fermi energy = 0.00 states/eV per cell



[10]
This record from Alexandria describes a geometry-optimized FeNiOs4 structure. The functional is PBE-GGA.

Lattice parameters (Å, degrees): 5.083 5.083 5.083 60.00 60.00 60.00
Site moments in Bohr magnetons follow the coordinates.
Fractional coordinates of all 6 atoms:
Fe (0.750, 0.750, 0.750)  3.11
Os (0.876, 0.375, 0.375)  0.11
Os (0.375, 0.876, 0.375)  0.11
Os (0.375, 0.375, 0.375)  0.11
Os (0.375, 0.375, 0.876)  0.11
Ni (0.000, 0.000, 0.000)  0.11

Results
Total DFT energy (no corrections) = -54.1 eV/cell
ΔH_f (0 K) = 0.8516 eV per atom
Total magnetization = 0.61 μB per atom
DOS at the Fermi energy = 9.23 states/eV per cell



[11]
This record from Alexandria describes a geometry-optimized AlZnBr3 structure. The functional is PBE-GGA.

Lattice parameters (Å, degrees): 5.206 5.206 5.206 90.00 90.00 90.00
Fractional coordinates of all 5 atoms:
Br (0.000, 0.000, 0.500)
Br (0.000, 0.500, 0.000)
Br (0.500, 0.000, 0.000)
Al (0.500, 0.500, 0.500)
Zn (0.000, 0.000, 0.000)

Results
Total DFT energy (no corrections) = -12.0 eV/cell
Total magnetization = 0.00 μB per atom
Formation energy from raw total energies = -0.387 eV/atom
DOS at the Fermi energy = 0.17 states/eV per cell



[12]
This record from Alexandria describes a geometry-optimized TcAsSe2O structure. The functional is PBE-GGA.

Lattice parameters (Å, degrees): 4.394 4.394 4.214 90.00 90.00 90.00
Site moments in Bohr magnetons follow the coordinates.
Fractional coordinates of all 5 atoms:
Se (0.500, 0.000, 0.000)  -0.04
Se (0.000, 0.500, 0.000)  -0.04
O (0.000, 0.000, 0.000)  -0.01
Tc (0.500, 0.500, 0.500)  0.61
As (0.000, 0.000, 0.500)  -0.03

Results
Total DFT energy (no corrections) = -23.6 eV/cell
Total magnetization = 0.10 μB per atom
Formation energy from raw total energies = 0.672 eV/atom
Relative energy among the computed polymorphs = 0.000 eV per formula unit
DOS at the Fermi energy = 3.70 states/eV per cell